Entry 1:
Tb2YHo3Te6 | GGA-PBE | relaxed

Cell lengths 4.335, 8.746, 9.733 Å; angles 103.08, 102.87, 90.00 degrees
Element x y z (fractional)
Tb  0.833  0.667  0.666
Tb  0.167  0.333  0.334
Y  0.500  0.000  0.000
Ho  0.500  0.500  0.000
Ho  0.833  0.168  0.666
Ho  0.167  0.832  0.334
Te  0.333  0.919  0.666
Te  0.666  0.584  0.332
Te  0.667  0.081  0.334
Te  0.999  0.251  0.999
Te  0.001  0.749  0.001
Te  0.334  0.416  0.668

## Properties
**Raw formation energy**: -1.28 eV per atom
**Magnetic moment**: 0.000 μB/atom
**Electronic total energy**: -5.303 eV/atom
**Space group**: C2/m

Entry 2:
Tb2Y3HoTe6 | GGA-PBE | relaxed

Cell lengths 4.349, 8.760, 9.748 Å; angles 102.88, 102.89, 90.00 degrees
Element x y z (fractional)
Tb  0.832  0.665  0.664
Tb  0.168  0.335  0.336
Y  0.500  0.500  0.000
Y  0.832  0.167  0.664
Y  0.168  0.833  0.336
Ho  0.500  0.000  0.000
Te  0.335  0.918  0.669
Te  0.666  0.583  0.332
Te  0.665  0.082  0.331
Te  0.000  0.248  0.999
Te  0.000  0.752  0.001
Te  0.334  0.417  0.668

## Properties
**Raw formation energy**: -1.30 eV per atom
**Magnetic moment**: 0.000 μB/atom
**Electronic total energy**: -5.639 eV/atom
**Space group**: C2/m

Entry 3:
TbY2Ho3Te6 | GGA-PBE | relaxed

Cell lengths 4.335, 8.744, 9.728 Å; angles 103.01, 102.87, 90.00 degrees
Element x y z (fractional)
Tb  0.500  0.000  0.000
Y  0.834  0.668  0.667
Y  0.166  0.332  0.333
Ho  0.500  0.500  0.000
Ho  0.834  0.167  0.667
Ho  0.166  0.833  0.333
Te  0.332  0.918  0.665
Te  0.666  0.585  0.333
Te  0.668  0.082  0.335
Te  0.999  0.252  0.999
Te  0.001  0.748  0.001
Te  0.334  0.415  0.667

## Properties
**Raw formation energy**: -1.28 eV per atom
**Magnetic moment**: 0.000 μB/atom
**Electronic total energy**: -5.456 eV/atom
**Space group**: C2/m

Entry 4:
Tb2YHoTe5 | GGA-PBE | relaxed

Cell lengths 5.529, 5.529, 11.519 Å; angles 90.00, 90.00, 90.00 degrees
Element x y z (fractional)
Tb  0.500  0.500  0.348
Tb  0.500  0.500  0.652
Y  0.000  0.000  0.000
Ho  0.000  0.000  0.500
Te  0.000  0.500  0.500
Te  0.500  0.000  0.500
Te  0.000  0.000  0.754
Te  0.000  0.000  0.246
Te  0.500  0.500  0.000

## Properties
**Raw formation energy**: -0.69 eV per atom
**Magnetic moment**: 0.064 μB/atom
**Electronic total energy**: -4.689 eV/atom
**Space group**: P4/mmm

Entry 5:
Tb3Ho7Th | GGA-PBE | relaxed

Cell lengths 8.620, 7.014, 7.014 Å; angles 120.00, 90.00, 90.00 degrees
Element x y z (fractional)
Tb  0.782  0.498  0.502
Tb  0.782  0.498  0.997
Tb  0.782  0.003  0.502
Ho  0.121  0.169  0.831
Ho  0.121  0.169  0.338
Ho  0.117  0.667  0.333
Ho  0.448  0.832  0.168
Ho  0.448  0.335  0.168
Ho  0.448  0.832  0.665
Ho  0.121  0.662  0.831
Th  0.448  0.333  0.667

## Properties
**E_form**: 0.187 eV/atom
**Magnetic moment**: 0.000 μB/atom
**Electronic total energy**: -4.664 eV/atom
**Space group**: P3m1
**Offset from the most stable computed form**: 0.38 eV/f.u.

Entry 6:
TbHo4Th3 | GGA-PBE | relaxed

Cell lengths 3.565, 6.095, 11.777 Å; angles 95.01, 98.71, 90.00 degrees
Element x y z (fractional)
Tb  0.500  0.000  0.000
Ho  0.875  0.125  0.751
Ho  0.125  0.875  0.249
Ho  0.750  0.745  0.501
Ho  0.250  0.255  0.499
Th  0.000  0.500  0.000
Th  0.375  0.624  0.751
Th  0.625  0.376  0.249

## Properties
**E_form**: 0.028 eV/atom
**Magnetic moment**: 0.000 μB/atom
**Electronic total energy**: -5.622 eV/atom
**Space group**: C2/m
**Offset from the most stable computed form**: 0.00 eV/f.u.

Entry 7:
Tb2HoTh2 | GGA-PBE | relaxed

Cell lengths 6.137, 9.512, 9.512 Å; angles 116.67, 67.44, 67.44 degrees
Element x y z (fractional)
Tb  0.093  0.807  0.666
Tb  0.907  0.193  0.334
Tb  0.407  0.334  0.193
Tb  0.593  0.666  0.807
Ho  0.750  0.898  0.102
Ho  0.250  0.102  0.898
Th  0.621  0.612  0.174
Th  0.879  0.826  0.388
Th  0.121  0.174  0.612
Th  0.379  0.388  0.826

## Properties
**E_form**: 0.216 eV/atom
**Magnetic moment**: 0.000 μB/atom
**Electronic total energy**: -5.520 eV/atom
**Space group**: C2/c
**Offset from the most stable computed form**: 0.00 eV/f.u.

Entry 8:
TbHo14Th | GGA-PBE | relaxed

Cell lengths 7.094, 7.094, 11.432 Å; angles 90.00, 90.00, 119.94 degrees
Element x y z (fractional)
Tb  0.208  0.792  0.500
Ho  0.042  0.958  0.000
Ho  0.541  0.459  0.000
Ho  0.208  0.292  0.500
Ho  0.042  0.459  0.000
Ho  0.708  0.792  0.500
Ho  0.541  0.958  0.000
Ho  0.378  0.127  0.751
Ho  0.378  0.127  0.249
Ho  0.873  0.622  0.751
Ho  0.873  0.622  0.249
Ho  0.375  0.625  0.752
Ho  0.375  0.625  0.248
Ho  0.873  0.127  0.750
Ho  0.873  0.127  0.250
Th  0.708  0.292  0.500

## Properties
**E_form**: 0.012 eV/atom
**Magnetic moment**: 0.000 μB/atom
**Electronic total energy**: -4.746 eV/atom
**Space group**: Amm2

Entry 9:
Tb4Ho8Th | GGA-PBE | relaxed

Cell lengths 7.729, 7.729, 7.729 Å; angles 90.12, 90.12, 90.12 degrees
Element x y z (fractional)
Tb  0.500  0.000  0.500
Tb  0.000  0.500  0.500
Tb  0.500  0.500  0.000
Tb  0.000  0.000  0.000
Ho  0.240  0.758  0.240
Ho  0.760  0.760  0.242
Ho  0.760  0.242  0.760
Ho  0.242  0.760  0.760
Ho  0.759  0.759  0.759
Ho  0.241  0.241  0.241
Ho  0.758  0.240  0.240
Ho  0.240  0.240  0.758
Th  0.500  0.500  0.500

## Properties
**E_form**: 0.515 eV/atom
**Magnetic moment**: 0.069 μB/atom
**Electronic total energy**: -4.298 eV/atom
**Space group**: R-3m

Entry 10:
Tb5Ho8Th | GGA-PBE | relaxed

Cell lengths 8.409, 8.409, 8.409 Å; angles 110.63, 107.18, 110.63 degrees
Element x y z (fractional)
Tb  0.033  0.327  0.132
Tb  0.868  0.901  0.195
Tb  0.805  0.673  0.706
Tb  0.500  0.000  0.500
Tb  0.294  0.099  0.967
Ho  0.156  0.736  0.075
Ho  0.925  0.081  0.661
Ho  0.739  0.257  0.342
Ho  0.658  0.396  0.915
Ho  0.518  0.604  0.261
Ho  0.580  0.919  0.844
Ho  0.339  0.264  0.420
Ho  0.085  0.743  0.482
Th  0.250  0.500  0.750

## Properties
**E_form**: 0.287 eV/atom
**Magnetic moment**: 0.065 μB/atom
**Electronic total energy**: -4.513 eV/atom
**Space group**: I-4

Entry 11:
Tb6HoTh3 | GGA-PBE | relaxed

Cell lengths 9.862, 9.862, 6.959 Å; angles 44.88, 44.88, 60.00 degrees
Element x y z (fractional)
Tb  0.929  0.599  0.203
Tb  0.268  0.929  0.203
Tb  0.599  0.268  0.203
Tb  0.101  0.432  0.696
Tb  0.771  0.101  0.696
Tb  0.432  0.771  0.696
Ho  0.850  0.850  0.451
Th  0.350  0.350  0.951
Th  0.601  0.601  0.197
Th  0.099  0.099  0.704

## Properties
**E_form**: 0.341 eV/atom
**Magnetic moment**: 0.000 μB/atom
**Electronic total energy**: -5.120 eV/atom
**Space group**: R-3

Entry 12:
Tb4Ho3Th2 | GGA-PBE | relaxed

Cell lengths 3.553, 3.553, 26.453 Å; angles 90.00, 90.00, 120.00 degrees
Element x y z (fractional)
Tb  0.000  0.000  0.543
Tb  0.667  0.333  0.435
Tb  0.667  0.333  0.220
Tb  0.000  0.000  0.760
Ho  0.000  0.000  0.981
Ho  0.000  0.000  0.326
Ho  0.667  0.333  0.651
Th  0.667  0.333  0.091
Th  0.667  0.333  0.870

## Properties
**E_form**: 0.068 eV/atom
**Magnetic moment**: 0.000 μB/atom
**Electronic total energy**: -5.164 eV/atom
**Space group**: P3m1
**Offset from the most stable computed form**: 0.63 eV/f.u.

Entry 13:
Tb3Ho4Th | GGA-PBE | relaxed

Cell lengths 3.444, 6.716, 11.750 Å; angles 106.66, 98.43, 90.00 degrees
Element x y z (fractional)
Tb  0.000  0.500  0.000
Tb  0.124  0.884  0.248
Tb  0.876  0.116  0.752
Ho  0.741  0.243  0.482
Ho  0.259  0.757  0.518
Ho  0.124  0.364  0.249
Ho  0.876  0.636  0.751
Th  0.500  0.000  0.000

## Properties
**E_form**: 0.170 eV/atom
**Magnetic moment**: 0.000 μB/atom
**Electronic total energy**: -4.782 eV/atom
**Space group**: C2/m
**Offset from the most stable computed form**: 1.15 eV/f.u.

Entry 14:
Tb3Ho8Th2 | GGA-PBE | relaxed

Cell lengths 12.465, 8.710, 16.115 Å; angles 79.72, 103.96, 150.58 degrees
Element x y z (fractional)
Tb  0.395  0.547  0.210
Tb  0.500  0.000  0.500
Tb  0.023  0.659  0.723
Tb  0.977  0.341  0.277
Tb  0.000  0.000  0.000
Tb  0.605  0.453  0.790
Ho  0.588  0.787  0.002
Ho  0.681  0.911  0.426
Ho  0.207  0.254  0.804
Ho  0.877  0.471  0.912
Ho  0.519  0.053  0.275
Ho  0.537  0.400  0.377
Ho  0.991  0.649  0.398
Ho  0.818  0.061  0.815
Ho  0.182  0.939  0.185
Ho  0.009  0.351  0.602
Ho  0.793  0.746  0.196
Ho  0.481  0.947  0.725
Ho  0.123  0.529  0.088
Ho  0.463  0.600  0.623
Ho  0.319  0.089  0.574
Ho  0.412  0.213  0.998
Th  0.683  0.217  0.098
Th  0.866  0.794  0.581
Th  0.134  0.206  0.419
Th  0.317  0.783  0.902

## Properties
**E_form**: 0.118 eV/atom
**Magnetic moment**: 0.000 μB/atom
**Electronic total energy**: -4.909 eV/atom
**Space group**: P-1
**Offset from the most stable computed form**: 0.00 eV/f.u.

Entry 15:
Tb7Ho2Th | GGA-PBE | relaxed

Cell lengths 5.248, 9.570, 9.570 Å; angles 125.73, 90.00, 90.00 degrees
Element x y z (fractional)
Tb  0.000  0.802  0.198
Tb  0.000  0.198  0.802
Tb  0.500  0.069  0.287
Tb  0.500  0.931  0.713
Tb  0.500  0.287  0.069
Tb  0.500  0.713  0.931
Tb  0.500  0.500  0.500
Ho  0.500  0.702  0.298
Ho  0.500  0.298  0.702
Th  0.000  0.000  0.000

## Properties
**E_form**: 0.719 eV/atom
**Magnetic moment**: 0.001 μB/atom
**Electronic total energy**: -4.180 eV/atom
**Space group**: Cmmm
**Offset from the most stable computed form**: 7.01 eV/f.u.

Entry 16:
TbHo8Th2 | GGA-PBE | relaxed

Cell lengths 6.607, 6.558, 8.959 Å; angles 111.47, 99.00, 90.00 degrees
Element x y z (fractional)
Tb  0.000  0.000  0.000
Ho  0.596  0.173  0.826
Ho  0.404  0.347  0.174
Ho  0.816  0.200  0.400
Ho  0.184  0.800  0.600
Ho  0.596  0.653  0.826
Ho  0.404  0.827  0.174
Ho  0.097  0.410  0.820
Ho  0.903  0.590  0.180
Th  0.335  0.248  0.495
Th  0.665  0.752  0.505

## Properties
**E_form**: 0.186 eV/atom
**Magnetic moment**: 0.000 μB/atom
**Electronic total energy**: -4.914 eV/atom
**Space group**: C2/m
**Offset from the most stable computed form**: 0.00 eV/f.u.

Entry 17:
Tb3Ho2Th2 | GGA-PBE | relaxed

Cell lengths 3.570, 9.420, 7.923 Å; angles 65.16, 77.00, 100.87 degrees
Element x y z (fractional)
Tb  0.000  0.000  0.000
Tb  0.705  0.567  0.156
Tb  0.295  0.433  0.844
Ho  0.423  0.139  0.293
Ho  0.577  0.861  0.707
Th  0.858  0.286  0.571
Th  0.142  0.714  0.429

## Properties
**E_form**: 0.027 eV/atom
**Magnetic moment**: 0.000 μB/atom
**Electronic total energy**: -5.385 eV/atom
**Space group**: P-1
**Offset from the most stable computed form**: 0.00 eV/f.u.

Entry 18:
TbHoTh2 | GGA-PBE | relaxed

Cell lengths 3.561, 3.561, 11.782 Å; angles 81.31, 81.31, 60.00 degrees
Element x y z (fractional)
Tb  0.498  0.498  0.505
Ho  0.668  0.668  0.995
Th  0.083  0.083  0.750
Th  0.250  0.250  0.250

## Properties
**E_form**: 0.040 eV/atom
**Magnetic moment**: 0.000 μB/atom
**Electronic total energy**: -5.972 eV/atom
**Space group**: R3m
**Offset from the most stable computed form**: 0.04 eV/f.u.

Entry 19:
TbHoTh3 | GGA-PBE | relaxed

Cell lengths 6.009, 11.754, 8.265 Å; angles 135.32, 111.32, 90.00 degrees
Element x y z (fractional)
Tb  0.693  0.750  0.500
Tb  0.307  0.250  0.500
Ho  0.500  0.000  0.000
Ho  0.000  0.500  0.000
Th  0.670  0.170  0.840
Th  0.670  0.670  0.840
Th  0.330  0.330  0.160
Th  0.330  0.830  0.160
Th  0.000  0.500  0.500
Th  0.000  0.000  0.500

## Properties
**E_form**: 0.396 eV/atom
**Magnetic moment**: 0.000 μB/atom
**Electronic total energy**: -5.897 eV/atom
**Space group**: Imma
**Offset from the most stable computed form**: 0.00 eV/f.u.

Entry 20:
Tb4HoTh4 | GGA-PBE | relaxed

Cell lengths 5.058, 7.961, 7.961 Å; angles 84.21, 71.48, 71.48 degrees
Element x y z (fractional)
Tb  0.000  0.672  0.328
Tb  0.000  0.328  0.672
Tb  0.672  0.328  0.328
Tb  0.328  0.672  0.672
Ho  0.000  0.000  0.000
Th  0.334  0.332  0.000
Th  0.666  0.668  0.000
Th  0.666  0.000  0.668
Th  0.334  0.000  0.332

## Properties
**E_form**: 0.047 eV/atom
**Magnetic moment**: 0.000 μB/atom
**Electronic total energy**: -5.818 eV/atom
**Space group**: I4/mmm

Entry 21:
TbHo3Th | GGA-PBE | relaxed

Cell lengths 6.242, 9.521, 8.452 Å; angles 118.89, 111.81, 109.14 degrees
Element x y z (fractional)
Tb  0.538  0.155  0.255
Tb  0.462  0.845  0.745
Ho  0.732  0.555  0.253
Ho  0.870  0.658  0.755
Ho  0.340  0.752  0.250
Ho  0.660  0.248  0.750
Ho  0.268  0.445  0.747
Ho  0.130  0.342  0.245
Th  0.075  0.054  0.751
Th  0.925  0.946  0.249

## Properties
**E_form**: 0.028 eV/atom
**Magnetic moment**: 0.000 μB/atom
**Electronic total energy**: -5.129 eV/atom
**Space group**: P-1
**Offset from the most stable computed form**: 0.00 eV/f.u.